No. 1
Entry from Alexandria via LeMat-Bulk: a relaxed structure of CdSn3Pt (PBE).

## Properties
theoretical density = 7.51 g cm⁻³
space-group type = Pm-3m
E = -3.697 eV per atom
calculated formation energy = 95.9 meV/atom

The structure in POSCAR format:
```
CdSn3Pt
1.0
-5.079 0.931 -1.074
-1.206 -0.715 5.085
0.752 5.142 0.902
Pt Sn Cd
1 3 1
Direct
0.000 0.000 0.000 Pt
0.000 0.000 0.500 Sn
0.500 0.000 0.000 Sn
0.000 0.500 0.000 Sn
0.500 0.500 0.500 Cd
```

No. 2
Entry from Alexandria via LeMat-Bulk: a relaxed structure of CdSn3Pt (PBE).

## Properties
theoretical density = 8.92 g cm⁻³
space-group type = C2/m
E = -4.005 eV per atom
calculated formation energy = -211.9 meV/atom

The structure in POSCAR format:
```
CdSn3Pt
1.0
-5.187 4.115 1.873
-2.851 -6.242 0.502
5.929 -0.686 3.710
Pt Sn Cd
2 6 2
Direct
0.635 0.734 0.369 Pt
0.365 0.266 0.631 Pt
0.169 0.987 0.765 Sn
0.743 0.428 0.171 Sn
0.223 0.405 0.235 Sn
0.831 0.013 0.235 Sn
0.777 0.595 0.765 Sn
0.257 0.572 0.829 Sn
0.707 0.050 0.757 Cd
0.293 0.950 0.243 Cd
```

No. 3
Entry from Alexandria via LeMat-Bulk: a relaxed structure of Sr2Cd3SnPt4 (PBE).

## Properties
theoretical density = 9.95 g cm⁻³
space-group type = P-4m2
E = -3.970 eV per atom
calculated formation energy = -542.2 meV/atom

The structure in POSCAR format:
```
Sr2Cd3SnPt4
1.0
4.537 0.000 0.000
0.000 4.537 0.000
0.000 0.000 11.444
Sr Pt Cd Sn
2 4 3 1
Direct
0.000 0.500 0.767 Sr
0.500 0.000 0.233 Sr
0.000 0.000 0.000 Pt
0.500 0.000 0.633 Pt
0.500 0.500 0.000 Pt
0.000 0.500 0.367 Pt
0.000 0.000 0.500 Cd
0.500 0.000 0.867 Cd
0.000 0.500 0.133 Cd
0.500 0.500 0.500 Sn
```

No. 4
Entry from Alexandria via LeMat-Bulk: a relaxed structure of SrCd2SnPt (PBE).

## Properties
theoretical density = 7.24 g cm⁻³
space-group type = P4/mmm
E = -3.030 eV per atom
calculated formation energy = -319.1 meV/atom

The structure in POSCAR format:
```
SrCd2SnPt
1.0
5.251 0.000 0.000
0.000 5.251 0.000
0.000 0.000 5.206
Pt Cd Sn Sr
1 2 1 1
Direct
0.000 0.000 0.000 Pt
0.000 0.500 0.000 Cd
0.500 0.000 0.000 Cd
0.000 0.000 0.500 Sn
0.500 0.500 0.500 Sr
```

- The highest theoretical density belongs to which entry?
  Sr2Cd3SnPt4

- Among the records above, which one has the highest calculated formation energy?
  number 1